Here is Os2RuPt after structural relaxation from Alexandria via LeMat-Bulk. Energies are from PBE-GGA.

Unit cell a=4.7439 b=4.7439 c=4.7439 alpha=131.93 beta=131.94 gamma=70.32
Closest atoms and distances in Å follow each position.
Element x y z (fractional)
1 Os 0.0000 0.0000 0.0000  4 Pt 2.73, 4 Os 2.74, 4 Ru 2.74
2 Os 0.7500 0.2500 0.5000  4 Ru 2.73, 4 Os 2.74, 4 Pt 2.74
3 Pt 0.5000 0.5000 0.0000  8 Os 2.73-2.74, 4 Ru 2.74
4 Ru 0.2500 0.7500 0.5000  8 Os 2.73-2.74, 4 Pt 2.74



Here is Os2RuPt after structural relaxation from Alexandria via LeMat-Bulk. Energies are from PBE-GGA.

Unit cell a=9.1468 b=9.1468 c=9.1468 alpha=17.18 beta=17.18 gamma=17.18
Closest atoms and distances in Å follow each position.
Element x y z (fractional)
1 Os 0.0037 0.0037 0.0037  3 Ru 2.67, 6 Os 2.73, 3 Pt 2.83
2 Os 0.4963 0.4963 0.4963  3 Ru 2.67, 6 Os 2.73, 3 Pt 2.83
3 Pt 0.2500 0.2500 0.2500  6 Pt 2.73, 6 Os 2.83
4 Ru 0.7500 0.7500 0.7500  6 Os 2.67, 6 Ru 2.73



Here is OsRu2Pt after structural relaxation from Alexandria via LeMat-Bulk. Energies are from PBE-GGA.

Unit cell a=9.1288 b=9.1288 c=9.1288 alpha=17.20 beta=17.20 gamma=17.20
Closest atoms and distances in Å follow each position.
Element x y z (fractional)
1 Ru 0.9963 0.9963 0.9963  3 Os 2.66, 6 Ru 2.73, 3 Pt 2.83
2 Ru 0.5037 0.5037 0.5037  3 Os 2.66, 6 Ru 2.73, 3 Pt 2.83
3 Os 0.2500 0.2500 0.2500  6 Ru 2.66, 6 Os 2.73
4 Pt 0.7500 0.7500 0.7500  6 Pt 2.73, 6 Ru 2.83



Which ΔE_f belongs to each record? In order, 0.139, 0.122, 0.065 eV per atom.
Which calculated volume belongs to each record? In order, 14.5, 14.6, 14.5 Å³ per atom.